(A)
A plane-wave DFT calculation with PBE+U was carried out for V6AgO15 after structural relaxation. Values from VASP.

Properties
The volume is 277.4 Å³/cell. Its space group is Cm (8).

```
&SYSTEM
  ibrav = 0, nat = 22, ntyp = 3
/
ATOMIC_SPECIES
O 16.00 O.upf
V 50.94 V.upf
Ag 107.87 Ag.upf
ATOMIC_POSITIONS crystal
O 0.7325 0.7325 0.2212
O 0.8150 0.8150 0.9442
O 0.3653 0.3653 0.0710
O 0.5608 0.5608 0.2240
O 0.7594 0.7594 0.5691
O 0.2627 0.2627 0.7755
O 0.3990 0.3990 0.5271
O 0.4381 0.4381 0.7674
O 0.8801 0.8801 0.2721
O 0.6046 0.6046 0.4813
O 0.1839 0.1839 0.0542
O 0.1106 0.1106 0.7299
O 0.6333 0.6333 0.9301
O 0.0000 0.0000 0.0052
O 0.2424 0.2424 0.4264
V 0.1199 0.1199 0.8841
V 0.7163 0.7163 0.4072
V 0.3374 0.3374 0.8967
V 0.6605 0.6605 0.1061
V 0.8832 0.8832 0.1110
V 0.2886 0.2886 0.5887
Ag 0.0026 0.0026 0.6040
CELL_PARAMETERS angstrom
1.8327 7.8937 0.1083
-1.8327 7.8937 0.1083
0.0000 3.6018 9.6371
```

(B)
A plane-wave DFT calculation with PBE+U was carried out for V6AgO15 after structural relaxation. Values from VASP.

Properties
The volume is 562.6 Å³/cell. Its space group is P-1 (2).

```
&SYSTEM
  ibrav = 0, nat = 44, ntyp = 3
/
ATOMIC_SPECIES
O 16.00 O.upf
V 50.94 V.upf
Ag 107.87 Ag.upf
ATOMIC_POSITIONS crystal
O 0.3737 0.4911 0.5732
O 0.5530 0.1258 0.7742
O 0.0012 0.1314 0.7683
O 0.3083 0.2394 0.2681
O 0.1213 0.4803 0.7741
O 0.4301 0.7347 0.9281
O 0.1323 0.5218 0.4307
O 0.9368 0.7901 0.4785
O 0.4470 0.8742 0.2258
O 0.9363 0.7332 0.9285
O 0.1938 0.7822 0.7330
O 0.9988 0.8686 0.2317
O 0.3471 0.3533 0.9462
O 0.5699 0.2653 0.0719
O 0.7505 0.0008 0.9950
O 0.2495 0.9992 0.0050
O 0.6263 0.5089 0.4268
O 0.8371 0.3866 0.9538
O 0.3866 0.5326 0.2212
O 0.8787 0.5197 0.2259
O 0.6917 0.7606 0.7319
O 0.6134 0.4674 0.7788
O 0.8062 0.2178 0.2670
O 0.6529 0.6467 0.0538
O 0.4659 0.7912 0.4761
O 0.0632 0.2099 0.5215
O 0.5341 0.2088 0.5239
O 0.0637 0.2668 0.0715
O 0.1629 0.6134 0.0462
O 0.8677 0.4782 0.5693
V 0.3963 0.5713 0.4073
V 0.1083 0.4292 0.5891
V 0.6925 0.7687 0.8943
V 0.6037 0.4287 0.5927
V 0.8917 0.5708 0.4109
V 0.3075 0.2313 0.1057
V 0.8108 0.2406 0.1177
V 0.4152 0.6749 0.1056
V 0.9212 0.6728 0.1039
V 0.0788 0.3272 0.8961
V 0.5848 0.3251 0.8944
V 0.1892 0.7594 0.8823
Ag 0.2547 0.0235 0.3888
Ag 0.7453 0.9765 0.6112
CELL_PARAMETERS angstrom
-5.5488 2.0205 -4.3466
1.8162 -7.5353 -2.6345
-6.4584 -0.4029 8.0661
```

Least stable: (A)

(A)
A plane-wave DFT calculation with PBE+U was carried out for AgWO2 after structural relaxation. Values from VASP.

Properties
The volume is 127.2 Å³/cell. Its space group is I-42d (122).

```
&SYSTEM
  ibrav = 0, nat = 8, ntyp = 3
/
ATOMIC_SPECIES
Ag 107.87 Ag.upf
O 16.00 O.upf
W 183.84 W.upf
ATOMIC_POSITIONS crystal
Ag 0.5000 0.5000 0.0000
Ag 0.2500 0.7500 0.5000
O 0.8750 0.9617 0.7500
O 0.0383 0.6250 0.2500
O 0.7117 0.1250 0.2500
O 0.3750 0.2883 0.7500
W 0.7500 0.2500 0.5000
W 0.0000 0.0000 0.0000
CELL_PARAMETERS angstrom
-1.5977 2.5776 -3.4200
-3.7294 -2.6318 -0.2413
-5.4673 3.5768 2.1954
```

(B)
A plane-wave DFT calculation with PBE+U was carried out for AgWO2 after structural relaxation. Values from VASP.

Properties
The volume is 56.1 Å³/cell. Its space group is R-3m (166).

```
&SYSTEM
  ibrav = 0, nat = 4, ntyp = 3
/
ATOMIC_SPECIES
Ag 107.87 Ag.upf
O 16.00 O.upf
W 183.84 W.upf
ATOMIC_POSITIONS crystal
Ag 0.5000 0.5000 0.5000
O 0.0868 0.0868 0.0868
O 0.9132 0.9132 0.9132
W 0.0000 0.0000 0.0000
CELL_PARAMETERS angstrom
1.0470 7.0540 1.4776
2.6887 5.7094 3.6349
3.8593 6.1140 0.8739
```

Least stable: (B)

(A)
A plane-wave DFT calculation with PBE+U was carried out for Zn2AgWO6 after structural relaxation. Values from VASP.

Properties
The volume is 128.9 Å³/cell. Its space group is C2/m (12).

```
&SYSTEM
  ibrav = 0, nat = 10, ntyp = 4
/
ATOMIC_SPECIES
Zn 65.41 Zn.upf
O 16.00 O.upf
Ag 107.87 Ag.upf
W 183.84 W.upf
ATOMIC_POSITIONS crystal
Zn 0.3505 0.7687 0.5200
Zn 0.6857 0.2640 0.5095
O 0.7031 0.1650 0.8123
O 0.7024 0.6659 0.8122
O 0.3338 0.3668 0.2172
O 0.0918 0.8550 0.6921
O 0.9445 0.1777 0.3373
O 0.3331 0.8677 0.2171
Ag 0.5181 0.5164 0.0147
W 0.0181 0.0164 0.0147
CELL_PARAMETERS angstrom
-0.0286 4.5345 2.3130
-1.4335 -2.4205 4.7280
5.1714 -1.4551 -2.3743
```

(B)
A plane-wave DFT calculation with PBE+U was carried out for Zn2AgWO6 after structural relaxation. Values from VASP.

Properties
The volume is 240.5 Å³/cell. Its space group is P2_1/c (14).

```
&SYSTEM
  ibrav = 0, nat = 20, ntyp = 4
/
ATOMIC_SPECIES
Zn 65.41 Zn.upf
O 16.00 O.upf
W 183.84 W.upf
Ag 107.87 Ag.upf
ATOMIC_POSITIONS crystal
Zn 0.0121 0.2120 0.2631
Zn 0.4879 0.2120 0.7631
Zn 0.5121 0.7880 0.2369
Zn 0.9879 0.7880 0.7369
O 0.3444 0.7677 0.0556
O 0.6556 0.2323 0.9444
O 0.8444 0.2323 0.4444
O 0.1556 0.7677 0.5556
O 0.1934 0.4719 0.8986
O 0.8669 0.8261 0.3030
O 0.3066 0.4719 0.3986
O 0.6934 0.5281 0.6014
O 0.1331 0.1739 0.6970
O 0.3669 0.1739 0.1970
O 0.8066 0.5281 0.1014
O 0.6331 0.8261 0.8030
W 0.0000 0.5000 0.5000
W 0.5000 0.5000 0.0000
Ag 0.0000 0.0000 0.0000
Ag 0.5000 0.0000 0.5000
CELL_PARAMETERS angstrom
5.2301 0.0000 0.0000
0.0000 5.3118 0.0064
0.0000 4.8715 8.6622
```

Least stable: (B)